The following is a DFT calculation (PBE-GGA) of a geometry-optimized Rb3Cu2Cl7 structure.

Unit cell a=12.9843 b=12.9843 c=7.1957 alpha=90.00 beta=90.00 gamma=147.83
Atoms (fractional coordinates):
Rb1 0.0703 0.9297 0.7500
Rb2 0.2500 0.7500 0.7500
Rb3 0.4297 0.5703 0.7500
Rb4 0.5703 0.4297 0.2500
Rb5 0.7500 0.2500 0.2500
Rb6 0.9297 0.0703 0.2500
Cu1 0.1544 0.8456 0.2500
Cu2 0.3456 0.6544 0.2500
Cu3 0.6544 0.3456 0.7500
Cu4 0.8456 0.1544 0.7500
Cl1 0.0595 0.9405 0.2500
Cl2 0.0627 0.3787 0.5292
Cl3 0.1213 0.4373 0.0292
Cl4 0.2500 0.7500 0.2500
Cl5 0.3787 0.0627 0.0292
Cl6 0.4373 0.1213 0.5292
Cl7 0.4405 0.5595 0.2500
Cl8 0.5595 0.4405 0.7500
Cl9 0.5627 0.8787 0.4708
Cl10 0.6213 0.9373 0.9708
Cl11 0.7500 0.2500 0.7500
Cl12 0.8787 0.5627 0.9708
Cl13 0.9373 0.6213 0.4708
Cl14 0.9405 0.0595 0.7500

Results
Its crystal system is orthorhombic. The calculation puts the total energy at -3.189 eV/atom. Its space group is No. 68. Its mass density is 3.25 g cm⁻³.

***

The following is a DFT calculation (PBE-GGA) of a geometry-optimized Cu2Re4Cl structure.

Unit cell a=5.2191 b=5.2191 c=5.2191 alpha=103.77 beta=103.77 gamma=121.60
Atoms (fractional coordinates):
Cu1 0.2500 0.7500 0.5000
Cu2 0.7500 0.2500 0.5000
Re1 0.1923 0.1923 0.3845
Re2 0.1923 0.8077 0.0000
Re3 0.8077 0.1923 0.0000
Re4 0.8077 0.8077 0.6155
Cl1 0.5000 0.5000 0.0000

Results
Its crystal system is tetragonal. The calculation puts the total energy at -7.743 eV/atom. Its space group is No. 139. Its mass density is 14.26 g cm⁻³.

***

The following is a DFT calculation (PBE-GGA) of a geometry-optimized Cu3SCl structure.

Unit cell a=4.3549 b=4.3549 c=4.3549 alpha=87.46 beta=87.46 gamma=87.46
Atoms (fractional coordinates):
Cu1 0.0348 0.7233 0.2419
Cu2 0.2419 0.0348 0.7233
Cu3 0.7233 0.2419 0.0348
S1 0.2127 0.2127 0.2127
Cl1 0.6705 0.6705 0.6705

Results
Its crystal system is trigonal. For the energy above the most stable polymorph in this dataset, the calculation gives 0.000 eV/atom. Its space group is No. 146. Its mass density is 5.21 g cm⁻³.

***

The following is a DFT calculation (PBE-GGA) of a geometry-optimized Cu3SCl structure.

Unit cell a=6.0631 b=6.0631 c=8.7991 alpha=90.00 beta=90.00 gamma=91.13
Atoms (fractional coordinates):
Cu1 0.0470 0.4106 0.7500
Cu2 0.2268 0.7732 0.5941
Cu3 0.2268 0.7732 0.9059
Cu4 0.3409 0.3409 0.0000
Cu5 0.3409 0.3409 0.5000
Cu6 0.4106 0.0470 0.2500
Cu7 0.5894 0.9530 0.7500
Cu8 0.6591 0.6591 0.0000
Cu9 0.6591 0.6591 0.5000
Cu10 0.7732 0.2268 0.0941
Cu11 0.7732 0.2268 0.4059
Cu12 0.9530 0.5894 0.2500
S1 0.0000 0.5000 0.0000
S2 0.0000 0.5000 0.5000
S3 0.5000 0.0000 0.0000
S4 0.5000 0.0000 0.5000
Cl1 0.0085 0.9915 0.2500
Cl2 0.4656 0.5344 0.2500
Cl3 0.5344 0.4656 0.7500
Cl4 0.9915 0.0085 0.7500

Results
Its crystal system is orthorhombic. For the energy above the most stable polymorph in this dataset, the calculation gives 0.049 eV/atom. Its space group is No. 63. Its mass density is 5.30 g cm⁻³.

***

The following is a DFT calculation (PBE-GGA) of a geometry-optimized Cu4WS4Cl4 structure.

Unit cell a=9.7711 b=9.7711 c=9.7711 alpha=95.58 beta=95.58 gamma=143.68
Atoms (fractional coordinates):
Cu1 0.0000 0.3580 0.3580
Cu2 0.0000 0.6420 0.6420
Cu3 0.3580 0.0000 0.3580
Cu4 0.3596 0.3596 0.7192
Cu5 0.3596 0.6404 0.0000
Cu6 0.6404 0.3596 0.0000
Cu7 0.6404 0.6404 0.2808
Cu8 0.6420 0.0000 0.6420
W1 0.0000 0.0000 0.0000
W2 0.5000 0.5000 0.0000
S1 0.0925 0.2482 0.8443
S2 0.2482 0.0925 0.8443
S3 0.2482 0.4040 0.1557
S4 0.4040 0.2482 0.1557
S5 0.5960 0.7518 0.8443
S6 0.7518 0.5960 0.8443
S7 0.7518 0.9075 0.1557
S8 0.9075 0.7518 0.1557
Cl1 0.1178 0.6178 0.2357
Cl2 0.1178 0.8822 0.5000
Cl3 0.3822 0.6178 0.5000
Cl4 0.3822 0.8822 0.7643
Cl5 0.6178 0.1178 0.2357
Cl6 0.6178 0.3822 0.5000
Cl7 0.8822 0.1178 0.5000
Cl8 0.8822 0.3822 0.7643

Results
Its crystal system is tetragonal. The calculation puts the total energy at -4.102 eV/atom. Its space group is No. 139. Its mass density is 4.48 g cm⁻³.

***

The following is a DFT calculation (PBE-GGA) of a geometry-optimized Tl2CuSbCl6 structure.

Unit cell a=7.1400 b=7.2734 c=12.5538 alpha=90.00 beta=124.36 gamma=90.00
Atoms (fractional coordinates):
Tl1 0.2315 0.0554 0.2473
Tl2 0.2315 0.4446 0.7473
Tl3 0.7685 0.5554 0.2527
Tl4 0.7685 0.9446 0.7527
Cu1 0.0000 0.0000 0.5000
Cu2 0.0000 0.5000 0.0000
Sb1 0.5000 0.0000 0.0000
Sb2 0.5000 0.5000 0.5000
Cl1 0.1702 0.2185 0.9707
Cl2 0.1702 0.2815 0.4707
Cl3 0.2561 0.6993 0.9729
Cl4 0.2561 0.8007 0.4729
Cl5 0.3015 0.0020 0.7439
Cl6 0.3015 0.4980 0.2439
Cl7 0.6985 0.5020 0.7561
Cl8 0.6985 0.9980 0.2561
Cl9 0.7439 0.1993 0.5271
Cl10 0.7439 0.3007 0.0271
Cl11 0.8298 0.7185 0.5293
Cl12 0.8298 0.7815 0.0293

Results
Its crystal system is monoclinic. The calculation puts the total energy at -3.188 eV/atom. Its space group is No. 14. Its mass density is 4.98 g cm⁻³.

***

The following is a DFT calculation (PBE-GGA) of a geometry-optimized ScTl2CuCl6 structure.

Unit cell a=7.1529 b=7.1529 c=7.1529 alpha=121.28 beta=121.28 gamma=87.80
Atoms (fractional coordinates):
Sc1 0.0000 0.0000 0.0000
Tl1 0.2500 0.7500 0.5000
Tl2 0.7500 0.2500 0.5000
Cu1 0.5000 0.5000 0.0000
Cl1 0.2417 0.2417 0.0000
Cl2 0.2514 0.2514 0.5028
Cl3 0.2514 0.7486 0.0000
Cl4 0.7486 0.2514 0.0000
Cl5 0.7486 0.7486 0.4972
Cl6 0.7583 0.7583 0.0000

Results
Its crystal system is tetragonal. The calculation puts the total energy at -3.896 eV/atom. Its space group is No. 139. Its mass density is 4.78 g cm⁻³.

***

The following is a DFT calculation (PBE-GGA) of a geometry-optimized ScTl2CuCl6 structure.

Unit cell a=7.0646 b=7.0646 c=7.0646 alpha=60.29 beta=60.29 gamma=60.29
Atoms (fractional coordinates):
Sc1 0.0000 0.0000 0.0000
Tl1 0.2498 0.2498 0.2498
Tl2 0.7502 0.7502 0.7502
Cu1 0.5000 0.5000 0.5000
Cl1 0.2144 0.7516 0.2836
Cl2 0.2484 0.7164 0.7856
Cl3 0.2836 0.2144 0.7516
Cl4 0.7164 0.7856 0.2484
Cl5 0.7516 0.2836 0.2144
Cl6 0.7856 0.2484 0.7164

Results
Its crystal system is trigonal. The calculation puts the total energy at -3.897 eV/atom. Its space group is No. 148. Its mass density is 4.83 g cm⁻³.